# 1
DFT (PBE-GGA) results for an optimized crystal structure of SmTmPdPb.

a b c (Å): 5.232 5.232 5.232
angles (deg): 60.00 60.00 60.00
Element x y z (fractional)
Pb  0.250  0.250  0.250
Tm  0.500  0.500  0.500
Pd  0.750  0.750  0.750
Sm  0.000  0.000  0.000

## Properties
* space-group type: F-43m, No. 216
* DFT formation energy: -0.598 eV per atom


# 2
DFT (PBE-GGA) results for an optimized crystal structure of Sm2Zn2Pd5Pb.

a b c (Å): 3.875 9.916 9.916
angles (deg): 90.00 90.00 90.00
Element x y z (fractional)
Sm  0.000  0.679  0.179
Sm  0.000  0.321  0.821
Sm  0.000  0.179  0.321
Sm  0.000  0.821  0.679
Zn  0.000  0.117  0.617
Zn  0.000  0.883  0.383
Zn  0.000  0.617  0.883
Zn  0.000  0.383  0.117
Pd  0.500  0.215  0.069
Pd  0.500  0.785  0.931
Pd  0.500  0.069  0.785
Pd  0.500  0.715  0.431
Pd  0.500  0.931  0.215
Pd  0.500  0.285  0.569
Pd  0.500  0.569  0.715
Pd  0.500  0.431  0.285
Pd  0.500  0.500  0.000
Pd  0.500  0.000  0.500
Pb  0.000  0.000  0.000
Pb  0.000  0.500  0.500

## Properties
* space-group type: P4/mbm, No. 127
* DFT formation energy: -0.634 eV per atom


# 3
DFT (PBE-GGA) results for an optimized crystal structure of Sn2PdPb2.

a b c (Å): 7.092 7.092 5.345
angles (deg): 90.00 90.00 90.00
Element x y z (fractional)
Pb  0.171  0.671  0.500
Pb  0.671  0.829  0.500
Pb  0.829  0.329  0.500
Pb  0.329  0.171  0.500
Sn  0.352  0.852  0.000
Sn  0.852  0.648  0.000
Sn  0.648  0.148  0.000
Sn  0.148  0.352  0.000
Pd  0.000  0.000  0.000
Pd  0.500  0.500  0.000

## Properties
* space-group type: P4/mbm, No. 127
* DFT formation energy: -0.092 eV per atom
* ΔE to the lowest computed polymorph: 0.0000 eV/atom


# 4
DFT (PBE-GGA) results for an optimized crystal structure of SnPd8Pb2.

a b c (Å): 4.099 7.922 7.566
angles (deg): 121.57 105.72 90.00
Element x y z (fractional)
Sn  0.500  0.000  0.000
Pd  0.664  0.916  0.329
Pd  0.336  0.587  0.671
Pd  0.169  0.169  0.338
Pd  0.000  0.242  0.000
Pd  0.831  0.831  0.662
Pd  0.664  0.413  0.329
Pd  0.336  0.084  0.671
Pd  0.000  0.758  0.000
Pb  0.156  0.656  0.312
Pb  0.844  0.344  0.688

## Properties
* space-group type: Immm, No. 71
* DFT formation energy: -0.321 eV per atom
* ΔE to the lowest computed polymorph: 0.0000 eV/atom


# 5
DFT (PBE-GGA) results for an optimized crystal structure of SnPdPb.

a b c (Å): 4.286 4.507 4.507
angles (deg): 120.00 90.00 90.00
Element x y z (fractional)
Pb  0.706  0.667  0.333
Sn  0.225  0.333  0.667
Pd  0.069  0.000  0.000

## Properties
* space-group type: P3m1, No. 156
* DFT formation energy: -0.136 eV per atom


# 6
DFT (PBE-GGA) results for an optimized crystal structure of SnPd14Pb.

a b c (Å): 5.787 5.787 7.704
angles (deg): 90.00 90.00 90.00
Element x y z (fractional)
Sn  0.875  0.875  0.500
Pd  0.875  0.875  0.000
Pd  0.375  0.375  0.000
Pd  0.875  0.375  0.500
Pd  0.875  0.375  0.000
Pd  0.375  0.875  0.500
Pd  0.375  0.875  0.000
Pd  0.627  0.123  0.247
Pd  0.627  0.123  0.753
Pd  0.123  0.627  0.247
Pd  0.123  0.627  0.753
Pd  0.627  0.627  0.247
Pd  0.627  0.627  0.753
Pd  0.123  0.123  0.247
Pd  0.123  0.123  0.753
Pb  0.375  0.375  0.500

## Properties
* space-group type: P4/mmm, No. 123
* DFT formation energy: -0.184 eV per atom


# 7
DFT (PBE-GGA) results for an optimized crystal structure of Sn2Pd9Pb.

a b c (Å): 4.065 4.065 12.188
angles (deg): 90.00 90.00 90.00
Element x y z (fractional)
Sn  0.000  0.000  0.336
Sn  0.000  0.000  0.664
Pd  0.500  0.500  0.000
Pd  0.500  0.500  0.336
Pd  0.500  0.500  0.664
Pd  0.500  0.000  0.172
Pd  0.500  0.000  0.500
Pd  0.500  0.000  0.828
Pd  0.000  0.500  0.172
Pd  0.000  0.500  0.500
Pd  0.000  0.500  0.828
Pb  0.000  0.000  0.000

## Properties
* space-group type: P4/mmm, No. 123
* DFT formation energy: -0.433 eV per atom


# 8
DFT (PBE-GGA) results for an optimized crystal structure of SnPd6Pb.

a b c (Å): 4.077 4.077 8.149
angles (deg): 90.00 90.00 90.00
Element x y z (fractional)
Sn  0.000  0.000  0.500
Pd  0.500  0.500  0.000
Pd  0.500  0.500  0.500
Pd  0.500  0.000  0.257
Pd  0.500  0.000  0.743
Pd  0.000  0.500  0.257
Pd  0.000  0.500  0.743
Pb  0.000  0.000  0.000

## Properties
* space-group type: P4/mmm, No. 123
* DFT formation energy: -0.397 eV per atom
* ΔE to the lowest computed polymorph: 0.0000 eV/atom


# 9
DFT (PBE-GGA) results for an optimized crystal structure of Sn2Pd7Pb.

a b c (Å): 4.481 7.627 7.627
angles (deg): 122.28 90.00 90.00
Element x y z (fractional)
Sn  0.500  0.699  0.301
Sn  0.500  0.301  0.699
Pd  0.000  0.798  0.202
Pd  0.000  0.202  0.798
Pd  0.500  0.075  0.292
Pd  0.500  0.925  0.708
Pd  0.500  0.292  0.075
Pd  0.500  0.708  0.925
Pd  0.500  0.500  0.500
Pb  0.000  0.000  0.000

## Properties
* space-group type: Cmmm, No. 65
* DFT formation energy: -0.044 eV per atom


# 10
DFT (PBE-GGA) results for an optimized crystal structure of Sn2Pd3Pb2.

a b c (Å): 3.506 7.307 6.465
angles (deg): 88.69 89.98 103.94
Element x y z (fractional)
Sn  0.649  0.300  0.941
Sn  0.351  0.700  0.059
Pd  0.000  0.000  0.000
Pd  0.755  0.512  0.316
Pd  0.245  0.488  0.684
Pb  0.902  0.799  0.616
Pb  0.098  0.201  0.384

## Properties
* space-group type: P-1, No. 2
* DFT formation energy: -0.277 eV per atom


# 11
DFT (PBE-GGA) results for an optimized crystal structure of Sn2PdPb.

a b c (Å): 3.383 3.383 10.583
angles (deg): 80.80 80.80 60.00
Element x y z (fractional)
Pb  0.000  0.000  0.000
Sn  0.103  0.103  0.692
Sn  0.897  0.897  0.308
Pd  0.500  0.500  0.500

## Properties
* space-group type: R-3m, No. 166
* DFT formation energy: -0.149 eV per atom


# 12
DFT (PBE-GGA) results for an optimized crystal structure of SnPd5Pb.

a b c (Å): 5.294 5.294 9.567
angles (deg): 104.32 104.32 93.91
Element x y z (fractional)
Sn  0.496  0.504  0.250
Sn  0.504  0.496  0.750
Pd  0.979  0.612  0.159
Pd  0.236  0.540  0.463
Pd  0.612  0.979  0.659
Pd  0.841  0.159  0.250
Pd  0.460  0.764  0.037
Pd  0.540  0.236  0.963
Pd  0.159  0.841  0.750
Pd  0.388  0.021  0.341
Pd  0.764  0.460  0.537
Pd  0.021  0.388  0.841
Pb  0.000  0.000  0.000
Pb  0.000  0.000  0.500

## Properties
* space-group type: C2/c, No. 15
* DFT formation energy: -0.316 eV per atom
* ΔE to the lowest computed polymorph: 0.0388 eV/atom